(1)
LiTb4Se4 after structural relaxation, computed with PBE.

The calculation puts the density of states at the Fermi level at 4.23 states/eV/f.u. Its uncorrected energy is -5.309 eV/atom. The total magnetic moment is 0.00 μB/atom. The value obtained for the formation energy from raw total energies is -1.490 eV per atom.

The structure belongs to space group C2/m (No. 12); the cell edges are 12.6342, 5.7197 and 8.9290 Å and the angles 90.00°, 134.93° and 90.00°. Symmetry generates all atoms from Li at (0.0000, 0.0000, 0.0000), Tb at (0.0961, 0.5000, 0.8005), Tb at (0.2035, 0.0000, 0.6066), Se at (0.0931, 0.0000, 0.8041) and Se at (0.2106, 0.5000, 0.6181).


(2)
Li3Tb5Se8 after structural relaxation, computed with PBE.

The calculation puts the density of states at the Fermi level at 3.73 states/eV/f.u. Its uncorrected energy is -5.278 eV/atom. The total magnetic moment is 0.00 μB/atom. The value obtained for the formation energy from raw total energies is -1.730 eV per atom.

The structure belongs to space group R-3m (No. 166, hexagonal axes); the cell edges are 8.1237, 8.1237 and 19.7886 Å and the angles 90.00°, 90.00° and 120.00°. Symmetry generates all atoms from Li at (0.0000, 0.5000, 0.0000), Tb at (0.0000, 0.0000, 0.0000), Tb at (0.0000, 0.0000, 0.5000), Tb at (0.0000, 0.5000, 0.5000), Se at (0.0000, 0.0000, 0.2517) and Se at (0.0048, 0.5024, 0.2524).